VASP calculation (PBE) on a geometry-optimized RbPrMnBr6 structure.

Summary:
* formation energy from raw total energies: -1.50 eV/atom
* mass density: 3.54 g/cm3
* DFT total energy: -4.270 eV/atom

Lattice parameters (Å, degrees): 7.3573 7.3573 15.2064 90.00 90.00 120.00
Sites, in units of the cell vectors:
Br 0.6361 0.6139 0.1437
Br 0.9778 0.3639 0.1437
Rb 0.0000 0.0000 0.0000
Br 0.3639 0.9778 0.6437
Br 0.3861 0.3639 0.3563
Pr 0.3333 0.6667 0.2500
Br 0.9778 0.6139 0.3563
Br 0.6139 0.6361 0.6437
Mn 0.6667 0.3333 0.2500
Mn 0.3333 0.6667 0.7500
Br 0.6361 0.0222 0.3563
Br 0.0222 0.3861 0.6437
Br 0.0222 0.6361 0.8563
Pr 0.6667 0.3333 0.7500
Br 0.3861 0.0222 0.1437
Br 0.3639 0.3861 0.8563
Rb 0.0000 0.0000 0.5000
Br 0.6139 0.9778 0.8563